Entry 1:
# Ta3TiHg | the Alexandria database | SCAN | single point on PBEsol structure
# Density of states at the Fermi level ... 5.00 states/eV/f.u.
# Electronic total energy ... -276.671 eV per cell
data_Ta3TiHg
_chemical_formula_sum 'Ta3 Ti1 Hg1'
_cell_length_a 4.636
_cell_length_b 4.636
_cell_length_c 4.636
_cell_angle_alpha 90.00
_cell_angle_beta 90.00
_cell_angle_gamma 90.00
_symmetry_space_group_name_H-M 'P m -3 m'
_symmetry_Int_Tables_number 221
_symmetry_space_group_name_Hall '-P 4 2 3'
loop_
_atom_site_label
_atom_site_fract_x
_atom_site_fract_y
_atom_site_fract_z
Ta1 0.000 0.000 0.500
Ti1 0.000 0.000 0.000
Hg1 0.500 0.500 0.500



Entry 2:
# Rb2AsPtW | the Alexandria database | SCAN | single point on PBEsol structure
# Density of states at the Fermi level ... 2.99 states/eV/f.u.
# Electronic total energy ... -196.038 eV per cell
data_Rb2AsPtW
_chemical_formula_sum 'Rb2 As1 Pt1 W1'
_cell_length_a 6.160
_cell_length_b 6.160
_cell_length_c 4.810
_cell_angle_alpha 90.00
_cell_angle_beta 90.00
_cell_angle_gamma 90.00
_symmetry_space_group_name_H-M 'P 4/m m m'
_symmetry_Int_Tables_number 123
_symmetry_space_group_name_Hall '-P 4 2'
loop_
_atom_site_label
_atom_site_fract_x
_atom_site_fract_y
_atom_site_fract_z
Rb1 0.000 0.500 0.000
As1 0.000 0.000 0.500
Pt1 0.500 0.500 0.000
W1 0.500 0.500 0.500



Entry 3:
# CaYCo3 | the Alexandria database | SCAN | single point on PBEsol structure
# Density of states at the Fermi level ... 3.49 states/eV/f.u.
# Electronic total energy ... -83.058 eV per cell
data_CaYCo3
_chemical_formula_sum 'Ca1 Y1 Co3'
_cell_length_a 4.460
_cell_length_b 4.460
_cell_length_c 4.460
_cell_angle_alpha 90.00
_cell_angle_beta 90.00
_cell_angle_gamma 90.00
_symmetry_space_group_name_H-M 'P m -3 m'
_symmetry_Int_Tables_number 221
_symmetry_space_group_name_Hall '-P 4 2 3'
loop_
_atom_site_label
_atom_site_fract_x
_atom_site_fract_y
_atom_site_fract_z
Ca1 0.000 0.000 0.000
Y1 0.500 0.500 0.500
Co1 0.000 0.000 0.500



Entry 4:
# TiRe3Tc | the Alexandria database | SCAN | single point on PBEsol structure
# Density of states at the Fermi level ... 3.24 states/eV/f.u.
# Electronic total energy ... -255.460 eV per cell
data_TiRe3Tc
_chemical_formula_sum 'Ti1 Re3 Tc1'
_cell_length_a 4.568
_cell_length_b 4.568
_cell_length_c 4.568
_cell_angle_alpha 90.00
_cell_angle_beta 90.00
_cell_angle_gamma 90.00
_symmetry_space_group_name_H-M 'P m -3 m'
_symmetry_Int_Tables_number 221
_symmetry_space_group_name_Hall '-P 4 2 3'
loop_
_atom_site_label
_atom_site_fract_x
_atom_site_fract_y
_atom_site_fract_z
Ti1 0.000 0.000 0.000
Re1 0.000 0.500 0.500
Tc1 0.500 0.500 0.500



Entry 5:
# ReAg2W | the Alexandria database | SCAN | single point on PBEsol structure
# Offset from the most stable computed form ... 0.232 eV per atom
# Density of states at the Fermi level ... 2.07 states/eV/f.u.
data_ReAg2W
_chemical_formula_sum 'Re1 Ag2 W1'
_cell_length_a 2.646
_cell_length_b 4.451
_cell_length_c 5.284
_cell_angle_alpha 90.00
_cell_angle_beta 90.00
_cell_angle_gamma 90.00
_symmetry_space_group_name_H-M 'P m m m'
_symmetry_Int_Tables_number 47
loop_
_symmetry_equiv_pos_as_xyz
'x,y,z'
'-x,-y,-z'
'-x,-y,z'
'x,y,-z'
'x,-y,-z'
'-x,y,z'
'-x,y,-z'
'x,-y,z'
loop_
_atom_site_label
_atom_site_fract_x
_atom_site_fract_y
_atom_site_fract_z
Re1 0.000 0.000 0.000
Ag1 0.500 0.500 0.250
W1 0.000 0.000 0.500



Entry 6:
# NiSb2F | the Alexandria database | SCAN | single point on PBEsol structure
# Formation energy from raw total energies ... -0.35 eV/atom
# Density of states at the Fermi level ... 2.33 states/eV/f.u.
data_NiSb2F
_chemical_formula_sum 'Ni4 Sb8 F4'
_cell_length_a 5.183
_cell_length_b 5.183
_cell_length_c 12.718
_cell_angle_alpha 90.00
_cell_angle_beta 90.00
_cell_angle_gamma 90.00
_symmetry_space_group_name_H-M 'I -4 2 d'
_symmetry_Int_Tables_number 122
_symmetry_space_group_name_Hall 'I -4 2bw'
loop_
_atom_site_label
_atom_site_fract_x
_atom_site_fract_y
_atom_site_fract_z
Ni1 0.000 0.000 0.000
Sb1 0.234 0.250 0.125
F1 0.000 0.000 0.500



Entry 7:
# KMnPt2Br | the Alexandria database | SCAN | single point on PBEsol structure
# Formation energy from raw total energies ... 0.64 eV/atom
# Density of states at the Fermi level ... 3.18 states/eV/f.u.
data_KMnPt2Br
_chemical_formula_sum 'K1 Mn1 Pt2 Br1'
_cell_length_a 4.925
_cell_length_b 4.925
_cell_length_c 4.586
_cell_angle_alpha 90.00
_cell_angle_beta 90.00
_cell_angle_gamma 90.00
_symmetry_space_group_name_H-M 'P 4/m m m'
_symmetry_Int_Tables_number 123
_symmetry_space_group_name_Hall '-P 4 2'
loop_
_atom_site_label
_atom_site_fract_x
_atom_site_fract_y
_atom_site_fract_z
K1 0.000 0.000 0.000
Mn1 0.500 0.500 0.000
Pt1 0.000 0.500 0.500
Br1 0.500 0.500 0.500



Entry 8:
# Cs2LiPrBr6 | the Alexandria database | SCAN | single point on PBEsol structure
# Formation energy from raw total energies ... -2.03 eV/atom
# Density of states at the Fermi level ... 0.00 states/eV/f.u.
data_Cs2LiPrBr6
_chemical_formula_sum 'Cs8 Li4 Pr4 Br24'
_cell_length_a 11.108
_cell_length_b 11.108
_cell_length_c 11.108
_cell_angle_alpha 90.00
_cell_angle_beta 90.00
_cell_angle_gamma 90.00
_symmetry_space_group_name_H-M 'F m -3 m'
_symmetry_Int_Tables_number 225
_symmetry_space_group_name_Hall '-F 4 2 3'
loop_
_atom_site_label
_atom_site_fract_x
_atom_site_fract_y
_atom_site_fract_z
Cs1 0.250 0.250 0.250
Li1 0.000 0.000 0.000
Pr1 0.000 0.000 0.500
Br1 0.000 0.000 0.242



Entry 9:
# V6Ga7 | the Alexandria database | SCAN | single point on PBEsol structure
# Offset from the most stable computed form ... 0.012 eV per atom
# Density of states at the Fermi level ... 7.79 states/eV/f.u.
data_V6Ga7
_chemical_formula_sum 'V48 Ga56'
_cell_length_a 12.662
_cell_length_b 12.771
_cell_length_c 9.004
_cell_angle_alpha 90.00
_cell_angle_beta 90.00
_cell_angle_gamma 90.00
_symmetry_space_group_name_H-M 'F m m 2'
_symmetry_Int_Tables_number 42
_symmetry_space_group_name_Hall 'F 2 -2'
loop_
_atom_site_label
_atom_site_fract_x
_atom_site_fract_y
_atom_site_fract_z
V1 0.000 0.000 0.000
V2 0.000 0.000 0.294
V3 0.000 0.108 0.538
V4 0.000 0.175 0.819
V5 0.167 0.000 0.471
V6 0.176 0.180 0.643
Ga1 0.000 0.188 0.112
Ga2 0.103 0.000 0.744
Ga3 0.141 0.171 0.332
Ga4 0.173 0.142 0.959
Ga5 0.185 0.000 0.170



Entry 10:
# ZnAg2Os | the Alexandria database | SCAN | single point on PBEsol structure
# Density of states at the Fermi level ... 1.87 states/eV/f.u.
# Electronic total energy ... -146.236 eV per cell
data_ZnAg2Os
_chemical_formula_sum 'Zn1 Ag2 Os1'
_cell_length_a 2.675
_cell_length_b 2.675
_cell_length_c 8.377
_cell_angle_alpha 90.00
_cell_angle_beta 90.00
_cell_angle_gamma 90.00
_symmetry_space_group_name_H-M 'P 4/m m m'
_symmetry_Int_Tables_number 123
_symmetry_space_group_name_Hall '-P 4 2'
loop_
_atom_site_label
_atom_site_fract_x
_atom_site_fract_y
_atom_site_fract_z
Zn1 0.000 0.000 0.000
Ag1 0.500 0.500 0.241
Os1 0.000 0.000 0.500



Entry 11:
# BiRhO2 | the Alexandria database | SCAN | single point on PBEsol structure
# Formation energy from raw total energies ... -0.29 eV/atom
# Density of states at the Fermi level ... 2.44 states/eV/f.u.
data_BiRhO2
_chemical_formula_sum 'Bi4 Rh4 O8'
_cell_length_a 4.199
_cell_length_b 4.199
_cell_length_c 13.152
_cell_angle_alpha 90.00
_cell_angle_beta 90.00
_cell_angle_gamma 90.00
_symmetry_space_group_name_H-M 'I -4 2 d'
_symmetry_Int_Tables_number 122
_symmetry_space_group_name_Hall 'I -4 2bw'
loop_
_atom_site_label
_atom_site_fract_x
_atom_site_fract_y
_atom_site_fract_z
Bi1 0.000 0.000 0.000
Rh1 0.000 0.000 0.500
O1 0.180 0.250 0.625



Entry 12:
# Mg2CrB2Ir5 | the Alexandria database | SCAN | single point on PBEsol structure
# Density of states at the Fermi level ... 3.31 states/eV/f.u.
# Electronic total energy ... -808.693 eV per cell
data_Mg2CrB2Ir5
_chemical_formula_sum 'Mg4 Cr2 B4 Ir10'
_cell_length_a 9.393
_cell_length_b 9.393
_cell_length_c 2.886
_cell_angle_alpha 90.00
_cell_angle_beta 90.00
_cell_angle_gamma 90.00
_symmetry_space_group_name_H-M 'P 4/m b m'
_symmetry_Int_Tables_number 127
_symmetry_space_group_name_Hall '-P 4 2ab'
loop_
_atom_site_label
_atom_site_fract_x
_atom_site_fract_y
_atom_site_fract_z
Mg1 0.177 0.323 0.000
Cr1 0.000 0.000 0.000
B1 0.125 0.625 0.000
Ir1 0.000 0.500 0.500
Ir2 0.071 0.786 0.500



Entry 13:
# Li2Cu5P4O16 | the Alexandria database | SCAN | single point on PBEsol structure
# Formation energy from raw total energies ... -1.91 eV/atom
data_Li2Cu5P4O16
_chemical_formula_sum 'Li2 Cu5 P4 O16'
_cell_length_a 5.286
_cell_length_b 7.640
_cell_length_c 8.380
_cell_angle_alpha 63.32
_cell_angle_beta 86.05
_cell_angle_gamma 79.63
_symmetry_space_group_name_H-M 'P -1'
_symmetry_Int_Tables_number 2
loop_
_symmetry_equiv_pos_as_xyz
'x,y,z'
'-x,-y,-z'
loop_
_atom_site_label
_atom_site_fract_x
_atom_site_fract_y
_atom_site_fract_z
Li1 0.129 0.103 0.207
Cu1 0.221 0.254 0.783
Cu2 0.306 0.442 0.287
Cu3 0.500 0.000 0.500
P1 0.178 0.690 0.503
P2 0.383 0.798 0.912
O1 0.068 0.246 0.412
O2 0.102 0.637 0.354
O3 0.175 0.988 0.842
O4 0.251 0.623 0.028
O5 0.330 0.864 0.405
O6 0.349 0.505 0.647
O7 0.377 0.181 0.008
O8 0.486 0.781 0.736



Entry 14:
# NbWO2 | the Alexandria database | SCAN | single point on PBEsol structure
# Formation energy from raw total energies ... -1.46 eV/atom
# Density of states at the Fermi level ... 2.14 states/eV/f.u.
data_NbWO2
_chemical_formula_sum 'Nb3 W3 O6'
_cell_length_a 2.8071
_cell_length_b 2.8071
_cell_length_c 20.7497
_cell_angle_alpha 90.00
_cell_angle_beta 90.00
_cell_angle_gamma 120.00
_symmetry_space_group_name_H-M 'R -3 m'
_symmetry_Int_Tables_number 166
_symmetry_space_group_name_Hall '-R 3 2"'
loop_
_atom_site_label
_atom_site_fract_x
_atom_site_fract_y
_atom_site_fract_z
Nb1 0.0000 0.0000 0.0000
W1 0.0000 0.0000 0.5000
O1 0.0000 0.0000 0.4026



Entry 15:
# SrAg2Ir | the Alexandria database | SCAN | single point on PBEsol structure
# Offset from the most stable computed form ... 0.000 eV per atom
# Density of states at the Fermi level ... 1.88 states/eV/f.u.
data_SrAg2Ir
_chemical_formula_sum 'Sr3 Ag6 Ir3'
_cell_length_a 4.5680
_cell_length_b 4.5680
_cell_length_c 15.2860
_cell_angle_alpha 90.00
_cell_angle_beta 90.00
_cell_angle_gamma 120.00
_symmetry_space_group_name_H-M 'R 3 m'
_symmetry_Int_Tables_number 160
_symmetry_space_group_name_Hall 'R 3 -2"'
loop_
_atom_site_label
_atom_site_fract_x
_atom_site_fract_y
_atom_site_fract_z
Sr1 0.0000 0.0000 0.0000
Ag1 0.0000 0.0000 0.1955
Ag2 0.0000 0.0000 0.4793
Ir1 0.0000 0.0000 0.8088



Entry 16:
# Li2MgNi | the Alexandria database | SCAN | single point on PBEsol structure
# Density of states at the Fermi level ... 1.48 states/eV/f.u.
# Electronic total energy ... -25.506 eV per cell
data_Li2MgNi
_chemical_formula_sum 'Li2 Mg1 Ni1'
_cell_length_a 2.763
_cell_length_b 3.889
_cell_length_c 5.385
_cell_angle_alpha 90.00
_cell_angle_beta 90.00
_cell_angle_gamma 90.00
_symmetry_space_group_name_H-M 'P m m m'
_symmetry_Int_Tables_number 47
loop_
_symmetry_equiv_pos_as_xyz
'x,y,z'
'-x,-y,-z'
'-x,-y,z'
'x,y,-z'
'x,-y,-z'
'-x,y,z'
'-x,y,-z'
'x,-y,z'
loop_
_atom_site_label
_atom_site_fract_x
_atom_site_fract_y
_atom_site_fract_z
Li1 0.000 0.000 0.213
Mg1 0.500 0.500 0.500
Ni1 0.500 0.500 0.000



Entry 17:
# MgTcIr2 | the Alexandria database | SCAN | single point on PBEsol structure
# Density of states at the Fermi level ... 3.82 states/eV/f.u.
# Electronic total energy ... -182.715 eV per cell
data_MgTcIr2
_chemical_formula_sum 'Mg1 Tc1 Ir2'
_cell_length_a 4.539
_cell_length_b 4.539
_cell_length_c 2.810
_cell_angle_alpha 90.00
_cell_angle_beta 90.00
_cell_angle_gamma 90.00
_symmetry_space_group_name_H-M 'P 4/m m m'
_symmetry_Int_Tables_number 123
_symmetry_space_group_name_Hall '-P 4 2'
loop_
_atom_site_label
_atom_site_fract_x
_atom_site_fract_y
_atom_site_fract_z
Mg1 0.000 0.000 0.000
Tc1 0.500 0.500 0.000
Ir1 0.000 0.500 0.500



Entry 18:
# Li2NiAs2 | the Alexandria database | SCAN | single point on PBEsol structure
# Density of states at the Fermi level ... 1.45 states/eV/f.u.
# Electronic total energy ... -128.252 eV per cell
data_Li2NiAs2
_chemical_formula_sum 'Li4 Ni2 As4'
_cell_length_a 6.015
_cell_length_b 6.015
_cell_length_c 4.200
_cell_angle_alpha 90.00
_cell_angle_beta 90.00
_cell_angle_gamma 90.00
_symmetry_space_group_name_H-M 'P 4/m b m'
_symmetry_Int_Tables_number 127
_symmetry_space_group_name_Hall '-P 4 2ab'
loop_
_atom_site_label
_atom_site_fract_x
_atom_site_fract_y
_atom_site_fract_z
Li1 0.168 0.332 0.000
Ni1 0.000 0.000 0.500
As1 0.146 0.646 0.500



Entry 19:
# CsFeSi2 | the Alexandria database | SCAN | single point on PBEsol structure
# Formation energy from raw total energies ... 1.38 eV/atom
# Density of states at the Fermi level ... 2.28 states/eV/f.u.
data_CsFeSi2
_chemical_formula_sum 'Cs4 Fe4 Si8'
_cell_length_a 6.917
_cell_length_b 6.917
_cell_length_c 6.917
_cell_angle_alpha 90.00
_cell_angle_beta 90.00
_cell_angle_gamma 90.00
_symmetry_space_group_name_H-M 'F m -3 m'
_symmetry_Int_Tables_number 225
_symmetry_space_group_name_Hall '-F 4 2 3'
loop_
_atom_site_label
_atom_site_fract_x
_atom_site_fract_y
_atom_site_fract_z
Cs1 0.000 0.000 0.000
Fe1 0.000 0.000 0.500
Si1 0.250 0.250 0.250



Entry 20:
# CaMg2Hg | the Alexandria database | SCAN | single point on PBEsol structure
# Density of states at the Fermi level ... 1.91 states/eV/f.u.
# Electronic total energy ... -88.768 eV per cell
data_CaMg2Hg
_chemical_formula_sum 'Ca1 Mg2 Hg1'
_cell_length_a 3.554
_cell_length_b 3.554
_cell_length_c 7.898
_cell_angle_alpha 90.00
_cell_angle_beta 90.00
_cell_angle_gamma 90.00
_symmetry_space_group_name_H-M 'P 4/m m m'
_symmetry_Int_Tables_number 123
_symmetry_space_group_name_Hall '-P 4 2'
loop_
_atom_site_label
_atom_site_fract_x
_atom_site_fract_y
_atom_site_fract_z
Ca1 0.000 0.000 0.000
Mg1 0.500 0.500 0.299
Hg1 0.000 0.000 0.500



V readings, ordered: 19.9 36.5 17.7 19.1 15.6 21.4 22.2 34.3 14.0 15.0 14.5 12.7 11.0 11.8 23.0 14.5 14.5 15.2 20.7 24.9 Å³ per atom